Record 1
First-principles (PBE) data for MnTl2Se2 after structural relaxation, as listed in the Alexandria database.

Electronic total energy, eV/cell: -90.794
Calculated volume, Å³/cell: 591.8
Raw formation energy, eV per formula unit: -1.8
Total moment, μB/cell: 20.0

a b c (Å): 9.684 7.452 8.224
angles (deg): 90.00 94.26 90.00
Sites, in units of the cell vectors:
Mn  0.121  0.075  0.157
Mn  0.121  0.425  0.657
Mn  0.879  0.575  0.343
Mn  0.879  0.925  0.843
Tl  0.173  0.611  0.047
Tl  0.173  0.889  0.547
Tl  0.437  0.244  0.511
Tl  0.437  0.256  0.011
Tl  0.563  0.744  0.989
Tl  0.563  0.756  0.489
Tl  0.827  0.111  0.453
Tl  0.827  0.389  0.953
Se  0.085  0.150  0.846
Se  0.085  0.350  0.346
Se  0.348  0.585  0.706
Se  0.348  0.915  0.206
Se  0.652  0.085  0.794
Se  0.652  0.415  0.294
Se  0.915  0.650  0.654
Se  0.915  0.850  0.154

---

Record 2
First-principles (PBE) data for MnTlSe2 after structural relaxation, as listed in the Alexandria database.

Electronic total energy, eV/cell: -39.710
Calculated volume, Å³/cell: 222.8
Raw formation energy, eV per formula unit: -1.4
Total moment, μB/cell: 8.0

a b c (Å): 4.322 4.717 10.929
angles (deg): 90.00 90.54 90.00
Sites, in units of the cell vectors:
Mn  0.247  0.000  0.388
Mn  0.753  0.500  0.612
Tl  0.260  0.935  0.868
Tl  0.740  0.435  0.132
Se  0.239  0.909  0.175
Se  0.252  0.761  0.590
Se  0.748  0.261  0.410
Se  0.761  0.409  0.825